# GGA-PBE Ca4AcIn5, optimized geometry
data_Ca4AcIn5
_chemical_formula_sum 'Ca4 Ac1 In5'
_space_group_name_H-M_alt 'P 4/m m m'
_space_group_IT_number 123
_space_group_name_Hall '-P 4 2'
_cell_length_a 3.936
_cell_length_b 3.936
_cell_length_c 19.259
_cell_angle_alpha 90.00
_cell_angle_beta 90.00
_cell_angle_gamma 90.00
loop_
_atom_site_label
_atom_site_fract_x
_atom_site_fract_y
_atom_site_fract_z
Ca1 0.000 0.000 0.097
Ca2 0.000 0.000 0.290
Ac1 0.000 0.000 0.500
In1 0.500 0.500 0.000
In2 0.500 0.500 0.193
In3 0.500 0.500 0.386
# Calculated formation energy = -0.46 eV per atom
# Total energy = -3.040 eV per atom


# GGA-PBE LuSi2Pt2, optimized geometry
data_LuSi2Pt2
_chemical_formula_sum 'Lu2 Si4 Pt4'
_space_group_name_H-M_alt 'I 4/m m m'
_space_group_IT_number 139
_space_group_name_Hall '-I 4 2'
_cell_length_a 4.196
_cell_length_b 4.196
_cell_length_c 9.692
_cell_angle_alpha 90.00
_cell_angle_beta 90.00
_cell_angle_gamma 90.00
loop_
_atom_site_label
_atom_site_fract_x
_atom_site_fract_y
_atom_site_fract_z
Lu1 0.000 0.000 0.000
Si1 0.000 0.000 0.382
Pt1 0.000 0.500 0.250
# Total energy = -6.474 eV per atom


Number 1: calculated volume 29.84 Å³/atom, magnetic moment 0.000 Bohr magnetons per cell. Number 2: calculated volume 17.06 Å³/atom, magnetic moment 0.000 Bohr magnetons per cell.